Compound: NpPRu
Source: Alexandria via LeMat-Bulk
Functional: PBE
Structure: relaxed

Output
M_tot: 3.024 μB/f.u.
Calculated density: 12.16 Mg/m³
Density of states at the Fermi level: 10.35 states/eV per cell
Energy of formation: -170 kJ/mol of formula units

a b c (Å): 3.9390 3.9390 6.5678
angles (deg): 95.93 95.93 90.33
Last column: nearest neighbours and their distance in Å.
Positions (direct):
Np: 0.1931 0.1931 0.1305  1 Np 2.54
Np: 0.8069 0.8069 0.8695  1 Np 2.54
P: 0.2821 0.2821 0.7083  4 Ru 2.39
P: 0.7179 0.7179 0.2917  4 Ru 2.39
Ru: 0.2539 0.7461 0.5000  4 P 2.39
Ru: 0.7461 0.2539 0.5000  4 P 2.39